# CrGa2AsO6 | Alexandria via LeMat-Bulk | PBE+U | relaxed
# size of the total moment: 11.98 μB/cell
# energy: -6.412 eV/atom
# D(E_F): 0.0 states/eV/cell
data_CrGa2AsO6
_chemical_formula_sum 'Cr4 Ga8 As4 O24'
_cell_length_a 10.203
_cell_length_b 8.731
_cell_length_c 5.440
_cell_angle_alpha 90.00
_cell_angle_beta 102.23
_cell_angle_gamma 90.00
_symmetry_space_group_name_H-M 'C 1 2/c 1'
_symmetry_Int_Tables_number 15
loop_
_symmetry_equiv_pos_as_xyz
'x,y,z'
'-x,-y,-z'
'-x,y,-z+1/2'
'x,-y,z+1/2'
'x+1/2,y+1/2,z'
'-x+1/2,-y+1/2,-z'
'-x+1/2,y+1/2,-z+1/2'
'x+1/2,-y+1/2,z+1/2'
loop_
_atom_site_label
_atom_site_type_symbol
_atom_site_fract_x
_atom_site_fract_y
_atom_site_fract_z
Cr1 Cr 0.000 0.091 0.250
Ga1 Ga 0.204 0.404 0.275
As1 As 0.000 0.274 0.750
O1 O 0.099 0.096 0.629
O2 O 0.114 0.235 0.111
O3 O 0.158 0.425 0.580